#one
The following is a DFT calculation (GGA-PBE) of crystalline Pr3YBi3 at its relaxed geometry.

Results
Its crystal system is cubic. The calculation puts the total magnetization at 0.01 μB per cell. For the density, the calculation gives 8.3 g/cm3.

Cell lengths 9.685, 9.685, 9.685 Å; angles 90.00, 90.00, 90.00 degrees
Space group P2_13 (No. 198)
Symmetry-distinct sites (fractional):
1 Pr 0.067 0.433 0.567 [4 per cell]
2 Pr 0.176 0.824 0.324 [4 per cell]
3 Pr 0.178 0.178 0.178 [4 per cell]
4 Y 0.073 0.573 0.927 [4 per cell]
5 Bi 0.002 0.257 0.871 [12 per cell]

***

#two
The following is a DFT calculation (GGA-PBE) of crystalline Pr3YBi3 at its relaxed geometry.

Results
Its crystal system is trigonal. The calculation puts the total magnetization at 0.00 μB per cell. For the density, the calculation gives 7.6 g/cm3.

Cell lengths 9.3996, 9.3996, 19.4358 Å; angles 90.00, 90.00, 120.00 degrees
Space group R-3 (No. 148, hexagonal axes)
Symmetry-distinct sites (fractional):
1 Pr 0.0041 0.2620 0.0855 [18 per cell]
2 Y 0.0000 0.0000 0.3325 [6 per cell]
3 Bi 0.0036 0.3925 0.9199 [18 per cell]

***

Least stable structure: #two

***

#one
The following is a DFT calculation (GGA-PBE) of crystalline Pr2ZnBi at its relaxed geometry.

Results
Its crystal system is trigonal. The calculation puts the total magnetization at 0.00 μB per cell. For the density, the calculation gives 7.3 g/cm3.

Cell lengths 3.6183, 3.6183, 33.5688 Å; angles 90.00, 90.00, 120.00 degrees
Space group R-3m (No. 166, hexagonal axes)
Symmetry-distinct sites (fractional):
1 Pr 0.0000 0.0000 0.0978 [6 per cell]
2 Zn 0.0000 0.0000 0.5000 [3 per cell]
3 Bi 0.0000 0.0000 0.0000 [3 per cell]

***

#two
The following is a DFT calculation (GGA-PBE) of crystalline Pr2ZnBi at its relaxed geometry.

Results
Its crystal system is tetragonal. The calculation puts the total magnetization at 0.00 μB per cell. For the density, the calculation gives 8.0 g/cm3.

Cell lengths 4.076, 4.076, 6.941 Å; angles 90.00, 90.00, 90.00 degrees
Space group P4/mmm (No. 123)
Symmetry-distinct sites (fractional):
1 Pr 0.000 0.000 0.243 [2 per cell]
2 Zn 0.500 0.500 0.000 [1 per cell]
3 Bi 0.500 0.500 0.500 [1 per cell]

***

Least stable structure: #one

***

#one
The following is a DFT calculation (GGA-PBE) of crystalline Bi5Pt2 at its relaxed geometry.

Results
Its crystal system is monoclinic. The calculation puts the total magnetization at 0.00 μB per cell. For the density, the calculation gives 12.2 g/cm3.

Cell lengths 16.813, 6.912, 6.792 Å; angles 90.00, 96.56, 90.00 degrees
Space group C2/c (No. 15)
Symmetry-distinct sites (fractional):
1 Bi 0.000 0.049 0.250 [4 per cell]
2 Bi 0.088 0.405 0.919 [8 per cell]
3 Bi 0.195 0.127 0.681 [8 per cell]
4 Pt 0.147 0.246 0.289 [8 per cell]

***

#two
The following is a DFT calculation (GGA-PBE) of crystalline Bi5Pt2 at its relaxed geometry.

Results
Its crystal system is monoclinic. The calculation puts the total magnetization at 0.00 μB per cell. For the density, the calculation gives 12.7 g/cm3.

Cell lengths 15.547, 7.134, 6.872 Å; angles 90.00, 99.90, 90.00 degrees
Space group C2/c (No. 15)
Symmetry-distinct sites (fractional):
1 Bi 0.000 0.042 0.250 [4 per cell]
2 Bi 0.091 0.376 0.958 [8 per cell]
3 Bi 0.215 0.103 0.293 [8 per cell]
4 Pt 0.104 0.241 0.573 [8 per cell]

***

Least stable structure: #two

***

#one
The following is a DFT calculation (GGA-PBE) of crystalline Bi3Pt at its relaxed geometry.

Results
Its crystal system is orthorhombic. The calculation puts the total magnetization at 0.00 μB per cell. For the density, the calculation gives 11.8 g/cm3.

Cell lengths 3.545, 12.538, 5.195 Å; angles 90.00, 90.00, 90.00 degrees
Space group Imm2 (No. 44)
Symmetry-distinct sites (fractional):
1 Bi 0.000 0.000 0.000 [2 per cell]
2 Bi 0.000 0.175 0.551 [4 per cell]
3 Pt 0.000 0.500 0.936 [2 per cell]

***

#two
The following is a DFT calculation (GGA-PBE) of crystalline Bi3Pt at its relaxed geometry.

Results
Its crystal system is monoclinic. The calculation puts the total magnetization at 0.00 μB per cell. For the density, the calculation gives 12.0 g/cm3.

Cell lengths 6.702, 3.667, 9.682 Å; angles 90.00, 106.30, 90.00 degrees
Space group P2_1/m (No. 11)
Symmetry-distinct sites (fractional):
1 Bi 0.088 0.250 0.304 [2 per cell]
2 Bi 0.302 0.750 0.054 [2 per cell]
3 Bi 0.345 0.750 0.616 [2 per cell]
4 Pt 0.259 0.250 0.825 [2 per cell]

***

#three
The following is a DFT calculation (GGA-PBE) of crystalline Bi3Pt at its relaxed geometry.

Results
Its crystal system is tetragonal. The calculation puts the total magnetization at 0.00 μB per cell. For the density, the calculation gives 12.4 g/cm3.

Cell lengths 11.712, 11.712, 6.438 Å; angles 90.00, 90.00, 90.00 degrees
Space group I-4 (No. 82)
Symmetry-distinct sites (fractional):
1 Bi 0.003 0.363 0.471 [8 per cell]
2 Bi 0.100 0.116 0.747 [8 per cell]
3 Bi 0.185 0.791 0.800 [8 per cell]
4 Pt 0.005 0.290 0.041 [8 per cell]

***

#four
The following is a DFT calculation (GGA-PBE) of crystalline Bi3Pt at its relaxed geometry.

Results
Its crystal system is orthorhombic. The calculation puts the total magnetization at 0.00 μB per cell. For the density, the calculation gives 11.9 g/cm3.

Cell lengths 3.382, 3.505, 9.662 Å; angles 90.00, 90.00, 90.00 degrees
Space group Pmm2 (No. 25)
Symmetry-distinct sites (fractional):
1 Bi 0.000 0.000 0.000 [1 per cell]
2 Bi 0.000 0.500 0.318 [1 per cell]
3 Bi 0.500 0.500 0.707 [1 per cell]
4 Pt 0.500 0.000 0.480 [1 per cell]

***

Least stable structure: #four

***

#one
The following is a DFT calculation (GGA-PBE) of crystalline Bi4Pt at its relaxed geometry.

Results
Its crystal system is cubic. The calculation puts the total magnetization at 0.00 μB per cell. For the density, the calculation gives 10.5 g/cm3.

Cell lengths 5.465, 5.465, 5.465 Å; angles 90.00, 90.00, 90.00 degrees
Space group Pm-3m (No. 221)
Symmetry-distinct sites (fractional):
1 Bi 0.000 0.000 0.000 [1 per cell]
2 Bi 0.000 0.500 0.500 [3 per cell]
3 Pt 0.500 0.500 0.500 [1 per cell]

***

#two
The following is a DFT calculation (GGA-PBE) of crystalline Bi4Pt at its relaxed geometry.

Results
Its crystal system is monoclinic. The calculation puts the total magnetization at 0.00 μB per cell. For the density, the calculation gives 10.9 g/cm3.

Cell lengths 6.541, 13.342, 7.274 Å; angles 90.00, 96.75, 90.00 degrees
Space group C2/c (No. 15)
Symmetry-distinct sites (fractional):
1 Bi 0.230 0.049 0.418 [8 per cell]
2 Bi 0.237 0.235 0.788 [8 per cell]
3 Pt 0.000 0.428 0.250 [4 per cell]

***

Least stable structure: #one

***

#one
The following is a DFT calculation (GGA-PBE) of crystalline Pu3BiPt2 at its relaxed geometry.

Results
Its crystal system is tetragonal. The calculation puts the total magnetization at 5.87 μB per cell. For the density, the calculation gives 15.3 g/cm3.

Cell lengths 3.466, 3.466, 12.040 Å; angles 90.00, 90.00, 90.00 degrees
Space group P4/mmm (No. 123)
Symmetry-distinct sites (fractional):
1 Pu 0.000 0.000 0.000 [1 per cell]
2 Pu 0.000 0.000 0.298 [2 per cell]
3 Bi 0.500 0.500 0.500 [1 per cell]
4 Pt 0.500 0.500 0.151 [2 per cell]

***

#two
The following is a DFT calculation (GGA-PBE) of crystalline Pu3BiPt2 at its relaxed geometry.

Results
Its crystal system is orthorhombic. The calculation puts the total magnetization at 33.11 μB per cell. For the density, the calculation gives 16.4 g/cm3.

Cell lengths 4.606, 13.372, 4.387 Å; angles 90.00, 90.00, 90.00 degrees
Space group Cmmm (No. 65)
Symmetry-distinct sites (fractional):
1 Pu 0.000 0.000 0.000 [2 per cell]
2 Pu 0.000 0.174 0.500 [4 per cell]
3 Bi 0.000 0.500 0.500 [2 per cell]
4 Pt 0.000 0.326 0.000 [4 per cell]

***

Least stable structure: #two